# 1
DFT (PBE) results for an optimized crystal structure of LaAg2Rh.

Lattice parameters (Å, degrees): 3.673 3.673 6.246 90.00 90.00 90.00
Space group P4mm (No. 99)
One atom of each set of equivalent atoms:
La 0.000 0.000 0.000 [1 per cell]
Ag 0.000 0.000 0.477 [1 per cell]
Ag 0.500 0.500 0.675 [1 per cell]
Rh 0.500 0.500 0.216 [1 per cell]

Properties
Formation enthalpy at 0 K: -0.201 eV per atom
Relative energy among the computed polymorphs: 177 meV per atom

=====

# 2
DFT (PBE) results for an optimized crystal structure of LaAgRh.

Lattice parameters (Å, degrees): 6.808 6.808 6.808 90.00 90.00 90.00
Space group F-43m (No. 216)
One atom of each set of equivalent atoms:
La 0.000 0.000 0.000 [4 per cell]
Ag 0.250 0.250 0.750 [4 per cell]
Rh 0.250 0.250 0.250 [4 per cell]

Properties
Formation enthalpy at 0 K: 0.204 eV per atom
Relative energy among the computed polymorphs: 693 meV per atom

=====

# 3
DFT (PBE) results for an optimized crystal structure of LaAg2Rh.

Lattice parameters (Å, degrees): 4.438 4.438 8.390 90.00 90.00 90.00
Space group I-4m2 (No. 119)
One atom of each set of equivalent atoms:
La 0.000 0.000 0.000 [2 per cell]
Ag 0.000 0.000 0.500 [2 per cell]
Ag 0.000 0.500 0.250 [2 per cell]
Rh 0.000 0.500 0.750 [2 per cell]

Properties
Formation enthalpy at 0 K: -0.222 eV per atom
Relative energy among the computed polymorphs: 156 meV per atom

=====

# 4
DFT (PBE) results for an optimized crystal structure of LaAgRh.

Lattice parameters (Å, degrees): 4.228 3.823 8.902 90.00 90.00 90.00
Space group Pmma (No. 51)
One atom of each set of equivalent atoms:
La 0.250 0.000 0.195 [2 per cell]
Ag 0.250 0.500 0.598 [2 per cell]
Rh 0.250 0.500 0.905 [2 per cell]

Properties
Formation enthalpy at 0 K: -0.451 eV per atom
Relative energy among the computed polymorphs: 38 meV per atom

=====

# 5
DFT (PBE) results for an optimized crystal structure of La3Ag2Rh.

Lattice parameters (Å, degrees): 5.235 7.642 8.253 90.00 108.41 90.00
Space group P2/m (No. 10)
One atom of each set of equivalent atoms:
La 0.000 0.239 0.000 [2 per cell]
La 0.321 0.225 0.643 [4 per cell]
Ag 0.164 0.500 0.328 [2 per cell]
Ag 0.500 0.000 0.000 [1 per cell]
Ag 0.500 0.500 0.000 [1 per cell]
Rh 0.147 0.000 0.296 [2 per cell]

Properties
Formation enthalpy at 0 K: -0.415 eV per atom

=====

# 6
DFT (PBE) results for an optimized crystal structure of La6Ag3Rh.

Lattice parameters (Å, degrees): 7.605 7.916 12.393 90.00 120.16 90.00
Space group P2_1/c (No. 14)
One atom of each set of equivalent atoms:
La 0.079 0.043 0.249 [4 per cell]
La 0.213 0.680 0.076 [4 per cell]
La 0.366 0.169 0.066 [4 per cell]
Ag 0.331 0.124 0.779 [4 per cell]
Ag 0.500 0.000 0.500 [2 per cell]
Rh 0.000 0.000 0.000 [2 per cell]

Properties
Formation enthalpy at 0 K: -0.245 eV per atom

=====

# 7
DFT (PBE) results for an optimized crystal structure of LaAg2Rh.

Lattice parameters (Å, degrees): 4.051 4.068 9.863 90.00 90.00 90.00
Space group Immm (No. 71)
One atom of each set of equivalent atoms:
La 0.000 0.000 0.000 [2 per cell]
Ag 0.000 0.500 0.250 [4 per cell]
Rh 0.000 0.000 0.500 [2 per cell]

Properties
Formation enthalpy at 0 K: -0.378 eV per atom
Relative energy among the computed polymorphs: 0 meV per atom

=====

# 8
DFT (PBE) results for an optimized crystal structure of LaAgRh2.

Lattice parameters (Å, degrees): 4.048 4.286 8.760 90.00 90.00 90.00
Space group Imm2 (No. 44)
One atom of each set of equivalent atoms:
La 0.000 0.000 0.000 [2 per cell]
Ag 0.000 0.500 0.758 [2 per cell]
Rh 0.000 0.000 0.518 [2 per cell]
Rh 0.000 0.500 0.257 [2 per cell]

Properties
Formation enthalpy at 0 K: -0.236 eV per atom

=====

# 9
DFT (PBE) results for an optimized crystal structure of La4AgRh.

Lattice parameters (Å, degrees): 8.986 14.132 6.304 90.00 116.59 90.00
Space group C2/c (No. 15)
One atom of each set of equivalent atoms:
La 0.117 0.189 0.079 [8 per cell]
La 0.222 0.428 0.330 [8 per cell]
Ag 0.000 0.382 0.750 [4 per cell]
Rh 0.000 0.006 0.250 [4 per cell]

Properties
Formation enthalpy at 0 K: -0.338 eV per atom
Relative energy among the computed polymorphs: 52 meV per atom

=====

# 10
DFT (PBE) results for an optimized crystal structure of La6AgRh3.

Lattice parameters (Å, degrees): 12.229 4.230 12.449 90.00 110.16 90.00
Space group P2_1/m (No. 11)
One atom of each set of equivalent atoms:
La 0.040 0.250 0.374 [2 per cell]
La 0.099 0.750 0.954 [2 per cell]
La 0.244 0.250 0.787 [2 per cell]
La 0.257 0.750 0.272 [2 per cell]
La 0.408 0.250 0.568 [2 per cell]
La 0.445 0.250 0.109 [2 per cell]
Ag 0.202 0.750 0.564 [2 per cell]
Rh 0.003 0.250 0.795 [2 per cell]
Rh 0.334 0.750 0.951 [2 per cell]
Rh 0.420 0.250 0.341 [2 per cell]

Properties
Formation enthalpy at 0 K: -0.556 eV per atom

=====

# 11
DFT (PBE) results for an optimized crystal structure of La3AgRh.

Lattice parameters (Å, degrees): 5.925 6.859 8.578 99.70 103.48 114.99
Space group P-1 (No. 2)
One atom of each set of equivalent atoms:
La 0.060 0.198 0.326 [2 per cell]
La 0.294 0.833 0.125 [2 per cell]
La 0.338 0.465 0.763 [2 per cell]
Ag 0.355 0.760 0.488 [2 per cell]
Rh 0.238 0.169 0.971 [2 per cell]

Properties
Formation enthalpy at 0 K: -0.424 eV per atom
Relative energy among the computed polymorphs: 10 meV per atom

=====

# 12
DFT (PBE) results for an optimized crystal structure of LaAg2Rh.

Lattice parameters (Å, degrees): 3.0275 3.0275 30.5682 90.00 90.00 120.00
Space group R-3m (No. 166, hexagonal axes)
One atom of each set of equivalent atoms:
La 0.0000 0.0000 0.0000 [3 per cell]
Ag 0.0000 0.0000 0.2398 [6 per cell]
Rh 0.0000 0.0000 0.5000 [3 per cell]

Properties
Formation enthalpy at 0 K: 0.349 eV per atom
Relative energy among the computed polymorphs: 728 meV per atom

=====

# 13
DFT (PBE) results for an optimized crystal structure of LaAgRh3.

Lattice parameters (Å, degrees): 4.872 4.872 4.872 90.00 90.00 90.00
Space group Pm-3m (No. 221)
One atom of each set of equivalent atoms:
La 0.000 0.000 0.000 [1 per cell]
Ag 0.500 0.500 0.500 [1 per cell]
Rh 0.000 0.000 0.500 [3 per cell]

Properties
Formation enthalpy at 0 K: 1.021 eV per atom
Relative energy among the computed polymorphs: 320 meV per atom

=====

# 14
DFT (PBE) results for an optimized crystal structure of LaAgRh.

Lattice parameters (Å, degrees): 3.857 17.879 3.956 90.00 90.00 90.00
Space group Cmcm (No. 63)
One atom of each set of equivalent atoms:
La 0.000 0.100 0.250 [4 per cell]
Ag 0.000 0.285 0.250 [4 per cell]
Rh 0.000 0.447 0.250 [4 per cell]

Properties
Formation enthalpy at 0 K: -0.489 eV per atom
Relative energy among the computed polymorphs: 0 meV per atom

=====

# 15
DFT (PBE) results for an optimized crystal structure of LaAg2Rh.

Lattice parameters (Å, degrees): 6.976 6.976 6.976 90.00 90.00 90.00
Space group Fm-3m (No. 225)
One atom of each set of equivalent atoms:
La 0.000 0.000 0.000 [4 per cell]
Ag 0.250 0.250 0.250 [8 per cell]
Rh 0.000 0.000 0.500 [4 per cell]

Properties
Formation enthalpy at 0 K: -0.079 eV per atom
Relative energy among the computed polymorphs: 299 meV per atom

=====

# 16
DFT (PBE) results for an optimized crystal structure of La3AgRh.

Lattice parameters (Å, degrees): 5.552 5.552 5.552 90.00 90.00 90.00
Space group Pm-3m (No. 221)
One atom of each set of equivalent atoms:
La 0.000 0.000 0.500 [3 per cell]
Ag 0.500 0.500 0.500 [1 per cell]
Rh 0.000 0.000 0.000 [1 per cell]

Properties
Formation enthalpy at 0 K: -0.222 eV per atom
Relative energy among the computed polymorphs: 212 meV per atom

=====

# 17
DFT (PBE) results for an optimized crystal structure of LaAg2Rh.

Lattice parameters (Å, degrees): 4.073 4.073 4.928 90.00 90.00 90.00
Space group P4/mmm (No. 123)
One atom of each set of equivalent atoms:
La 0.000 0.000 0.000 [1 per cell]
Ag 0.000 0.500 0.500 [2 per cell]
Rh 0.500 0.500 0.000 [1 per cell]

Properties
Formation enthalpy at 0 K: -0.301 eV per atom
Relative energy among the computed polymorphs: 77 meV per atom

=====

# 18
DFT (PBE) results for an optimized crystal structure of La4AgRh.

Lattice parameters (Å, degrees): 8.849 8.849 8.849 90.00 90.00 90.00
Space group F-43m (No. 216)
One atom of each set of equivalent atoms:
La 0.124 0.124 0.124 [16 per cell]
Ag 0.000 0.000 0.500 [4 per cell]
Rh 0.250 0.250 0.750 [4 per cell]

Properties
Formation enthalpy at 0 K: 0.514 eV per atom
Relative energy among the computed polymorphs: 904 meV per atom

=====

# 19
DFT (PBE) results for an optimized crystal structure of LaAgRh.

Lattice parameters (Å, degrees): 4.6209 4.6209 3.7671 90.00 90.00 120.00
Space group P-6m2 (No. 187)
One atom of each set of equivalent atoms:
La 0.0000 0.0000 0.0000 [1 per cell]
Ag 0.6667 0.3333 0.5000 [1 per cell]
Rh 0.3333 0.6667 0.5000 [1 per cell]

Properties
Formation enthalpy at 0 K: -0.328 eV per atom
Relative energy among the computed polymorphs: 161 meV per atom

=====

# 20
DFT (PBE) results for an optimized crystal structure of LaAgRh.

Lattice parameters (Å, degrees): 9.918 5.502 5.531 90.00 120.93 90.00
Space group C2/m (No. 12)
One atom of each set of equivalent atoms:
La 0.126 0.000 0.374 [4 per cell]
Ag 0.250 0.250 0.000 [4 per cell]
Rh 0.053 0.500 0.298 [4 per cell]

Properties
Formation enthalpy at 0 K: -0.297 eV per atom
Relative energy among the computed polymorphs: 192 meV per atom

=====

Number 1: calculated density 9.02 Mg/m³, M_tot 0.00 Bohr magnetons per cell, Fermi-level density of states 1.442 states/eV per cell. Number 2: calculated density 7.36 Mg/m³, M_tot 0.00 Bohr magnetons per cell, Fermi-level density of states 12.403 states/eV per cell. Number 3: calculated density 9.20 Mg/m³, M_tot 0.00 Bohr magnetons per cell, Fermi-level density of states 3.281 states/eV per cell. Number 4: calculated density 8.07 Mg/m³, M_tot 0.00 Bohr magnetons per cell, Fermi-level density of states 3.638 states/eV per cell. Number 5: calculated density 7.80 Mg/m³, M_tot 0.00 Bohr magnetons per cell, Fermi-level density of states 10.869 states/eV per cell. Number 6: calculated density 6.49 Mg/m³, M_tot 0.00 Bohr magnetons per cell, Fermi-level density of states 24.741 states/eV per cell. Number 7: calculated density 9.35 Mg/m³, M_tot 0.00 Bohr magnetons per cell, Fermi-level density of states 0.956 states/eV per cell. Number 8: calculated density 9.89 Mg/m³, M_tot 0.00 Bohr magnetons per cell, Fermi-level density of states 7.301 states/eV per cell. Number 9: calculated density 7.11 Mg/m³, M_tot 0.00 Bohr magnetons per cell, Fermi-level density of states 27.460 states/eV per cell. Number 10: calculated density 6.87 Mg/m³, M_tot 0.00 Bohr magnetons per cell, Fermi-level density of states 14.788 states/eV per cell. Number 11: calculated density 7.12 Mg/m³, M_tot 0.00 Bohr magnetons per cell, Fermi-level density of states 10.166 states/eV per cell. Number 12: calculated density 9.39 Mg/m³, M_tot 4.34 Bohr magnetons per cell, Fermi-level density of states 9.397 states/eV per cell. Number 13: calculated density 7.98 Mg/m³, M_tot 0.00 Bohr magnetons per cell, Fermi-level density of states 3.670 states/eV per cell. Number 14: calculated density 8.52 Mg/m³, M_tot 0.00 Bohr magnetons per cell, Fermi-level density of states 6.144 states/eV per cell. Number 15: calculated density 8.95 Mg/m³, M_tot 0.00 Bohr magnetons per cell, Fermi-level density of states 12.780 states/eV per cell. Number 16: calculated density 6.09 Mg/m³, M_tot 0.00 Bohr magnetons per cell, Fermi-level density of states 6.131 states/eV per cell. Number 17: calculated density 9.29 Mg/m³, M_tot 0.00 Bohr magnetons per cell, Fermi-level density of states 1.153 states/eV per cell. Number 18: calculated density 7.35 Mg/m³, M_tot 0.00 Bohr magnetons per cell, Fermi-level density of states 41.068 states/eV per cell. Number 19: calculated density 8.34 Mg/m³, M_tot 0.00 Bohr magnetons per cell, Fermi-level density of states 1.683 states/eV per cell. Number 20: calculated density 8.97 Mg/m³, M_tot 0.00 Bohr magnetons per cell, Fermi-level density of states 8.261 states/eV per cell.